NiRh3W | PBE | optimized geometry

Cell and atoms, written as extended XYZ:
```
5
Lattice="4.671 0.000 0.000 0.000 4.671 0.000 0.000 0.000 4.671" Properties=species:S:1:pos:R:3 pbc="T T T"
Rh 0.000 2.335 0.000
Rh 2.335 0.000 0.000
Rh 0.000 0.000 2.335
Ni 2.335 2.335 2.335
W 0.000 0.000 0.000
```

Output
density of states at the Fermi level = 6.73 states/eV/cell
relative energy among the computed polymorphs = 1.305 eV/atom
space group = Pm-3m (221)
total magnetization = 0.95 μB per cell
raw total energy = -6.7553 eV per atom
energy of formation from the pure elements = 1.402 eV per atom